(1)
Entry from Alexandria: a relaxed structure of AgPtCl2 (GGA-PBE).

abc: 6.805 5.674 3.283
angles: 63.49 105.18 132.49
Atoms (fractional coordinates):
Cl 0.000 0.000 0.000
Cl 0.500 0.000 0.500
Ag 0.500 0.500 0.000
Pt 0.000 0.500 0.500

Output
The calculation puts the uncorrected formation energy at 0.118 eV per atom. The size of the total moment comes out at 0.000 μB/cell. The electronic total energy comes out at -12.11 eV for the cell shown. The volume is 84 Å³/cell.



(2)
Entry from Alexandria: a relaxed structure of CaPr4Nd2Y2 (GGA-PBE).

abc: 5.243 8.299 8.203
angles: 107.80 90.00 108.41
Atoms (fractional coordinates):
Ca 0.000 0.000 0.000
Pr 0.443 0.887 0.657
Nd 0.887 0.773 0.336
Pr 0.557 0.113 0.343
Y 0.329 0.657 0.002
Pr 0.775 0.550 0.665
Y 0.671 0.343 0.998
Nd 0.113 0.227 0.664
Pr 0.225 0.450 0.335

Output
The size of the total moment comes out at 0.000 μB/cell. The electronic total energy comes out at -43.25 eV for the cell shown. The volume is 321 Å³/cell. The value obtained for the formation energy is 0.038 eV/atom.



(3)
Entry from Alexandria: a relaxed structure of AcTmPdAu (GGA-PBE).

abc: 5.239 5.239 5.239
angles: 60.00 60.00 60.00
Atoms (fractional coordinates):
Au 0.500 0.500 0.500
Tm 0.250 0.250 0.250
Pd 0.000 0.000 0.000
Ac 0.750 0.750 0.750

Output
The size of the total moment comes out at 0.000 μB/cell. The electronic total energy comes out at -20.01 eV for the cell shown. The volume is 102 Å³/cell. The value obtained for the formation energy is -0.739 eV/atom.



(4)
Entry from Alexandria: a relaxed structure of Sr2MgCoIr (GGA-PBE).

abc: 5.639 4.486 5.639
angles: 90.00 90.00 90.00
Atoms (fractional coordinates):
Mg 0.500 0.500 0.500
Co 0.000 0.000 0.000
Ir 0.000 0.500 0.000
Sr 0.500 0.000 0.000
Sr 0.000 0.000 0.500

Output
The size of the total moment comes out at 0.000 μB/cell. The electronic total energy comes out at -19.41 eV for the cell shown. The volume is 143 Å³/cell. The value obtained for the formation energy is 0.302 eV/atom.



(5)
Entry from Alexandria: a relaxed structure of PmSm4Sc3 (GGA-PBE).

abc: 6.112 7.133 11.151
angles: 90.00 90.00 90.00
Atoms (fractional coordinates):
Pm 0.153 0.382 0.000
Sc 0.151 0.385 0.500
Sm 0.631 0.136 0.500
Sm 0.487 0.867 0.243
Sm 0.649 0.135 0.000
Pm 0.653 0.618 0.500
Sc 0.479 0.385 0.249
Sm 0.131 0.864 0.000
Sc 0.479 0.385 0.751
Sm 0.149 0.865 0.500
Sc 0.979 0.615 0.251
Sm 0.987 0.133 0.257
Sc 0.651 0.615 0.000
Sm 0.987 0.133 0.743
Sc 0.979 0.615 0.749
Sm 0.487 0.867 0.757

Output
The size of the total moment comes out at 0.002 μB/cell. The electronic total energy comes out at -84.37 eV for the cell shown. The volume is 486 Å³/cell. The value obtained for the formation energy is 0.055 eV/atom.



(6)
Entry from Alexandria: a relaxed structure of Ga2FeAu2 (GGA-PBE).

abc: 7.213 7.213 3.295
angles: 90.00 90.00 90.00
Last column: magnetic moment on the atom in μB.
Atoms (fractional coordinates):
Fe 0.500 0.500 0.000  2.97
Ga 0.165 0.665 0.500  -0.02
Au 0.860 0.640 0.000  -0.01
Ga 0.335 0.165 0.500  -0.01
Au 0.140 0.360 0.000  -0.01
Ga 0.665 0.835 0.500  -0.01
Fe 0.000 0.000 0.000  2.96
Ga 0.835 0.335 0.500  -0.02
Au 0.640 0.140 0.000  -0.02
Au 0.360 0.860 0.000  -0.02

Output
The size of the total moment comes out at 5.796 μB/cell. The electronic total energy comes out at -40.40 eV for the cell shown. The volume is 171 Å³/cell. The value obtained for the formation energy is 0.174 eV/atom.